Entry 1:
Compound: CoB2I
Source: the Alexandria database
Functional: PBE-GGA
Structure: relaxed

Unit cell a=4.109 b=4.109 c=4.109 alpha=60.00 beta=60.00 gamma=60.00
Element x y z (fractional)
I: 0.500 0.500 0.500
B: 0.250 0.250 0.250
Co: 0.000 0.000 0.000
B: 0.750 0.750 0.750

Calculated values
formation energy without anion corrections	2.019	eV per atom
SG	Fm-3m, No. 225
excess energy over the best structure of this formula in the dataset	1.2222	eV/atom
total energy	-3.4834	eV per atom

=====

Entry 2:
Compound: CrMoHIr2
Source: the Alexandria database
Functional: PBE-GGA
Structure: relaxed

Unit cell a=3.869 b=3.869 c=3.988 alpha=90.00 beta=90.00 gamma=90.00
Element x y z (fractional)
Ir: 0.000 0.500 0.000
Cr: 0.500 0.500 0.500
Ir: 0.500 0.000 0.000
H: 0.000 0.000 0.000
Mo: 0.000 0.000 0.500

Calculated values
SG	P4/mmm, No. 123
excess energy over the best structure of this formula in the dataset	0.0635	eV/atom
total energy	-8.3525	eV per atom

=====

Entry 3:
Compound: Sr2NiW
Source: the Alexandria database
Functional: PBE-GGA
Structure: relaxed

Unit cell a=3.793 b=3.793 c=7.164 alpha=90.00 beta=90.00 gamma=90.00
Element x y z (fractional)
Ni: 0.500 0.500 0.750
W: 0.500 0.500 0.250
Sr: 0.000 0.000 0.515
Sr: 0.000 0.000 0.985

Calculated values
SG	P4/mmm, No. 123
calculated formation energy	1.0995	eV/atom
excess energy over the best structure of this formula in the dataset	0.5000	eV/atom
total energy	-4.4251	eV per atom

=====

Entry 4:
Compound: LiSmGe
Source: the Alexandria database
Functional: PBE-GGA
Structure: relaxed

Unit cell a=7.204 b=7.204 c=4.346 alpha=90.00 beta=90.00 gamma=120.00
Element x y z (fractional)
Sm: 0.578 0.000 0.000
Ge: 0.000 0.000 0.000
Li: 0.233 0.000 0.500
Li: 0.767 0.767 0.500
Sm: 0.422 0.422 0.000
Sm: 0.000 0.578 0.000
Li: 0.000 0.233 0.500
Ge: 0.333 0.667 0.500
Ge: 0.667 0.333 0.500

Calculated values
SG	P-62m, No. 189
calculated formation energy	-0.6998	eV/atom
total energy	-4.4499	eV per atom

=====

Entry 5:
Compound: Tc2HgRh
Source: the Alexandria database
Functional: PBE-GGA
Structure: relaxed

Unit cell a=7.372 b=7.372 c=5.833 alpha=50.81 beta=50.81 gamma=90.00
Element x y z (fractional)
Rh: 0.250 0.750 0.500
Hg: 0.750 0.250 0.500
Tc: 0.578 0.125 0.250
Rh: 0.500 0.500 0.000
Tc: 0.875 0.828 0.750
Tc: 0.172 0.625 0.250
Tc: 0.375 0.422 0.750
Hg: 0.000 0.000 0.000

Calculated values
SG	I-42d, No. 122
calculated formation energy	0.8749	eV/atom
total energy	-6.2214	eV per atom

=====

Entry 6:
Compound: SrRu2W
Source: the Alexandria database
Functional: PBE-GGA
Structure: relaxed

Unit cell a=9.058 b=9.058 c=9.058 alpha=20.06 beta=20.06 gamma=20.06
Element x y z (fractional)
W: 0.750 0.750 0.750
Sr: 0.250 0.250 0.250
Ru: 0.015 0.015 0.015
Ru: 0.485 0.485 0.485

Calculated values
SG	R-3m, No. 166
calculated formation energy	0.6249	eV/atom
excess energy over the best structure of this formula in the dataset	0.3471	eV/atom
total energy	-7.6717	eV per atom

=====

Entry 7:
Compound: Ho6SiGe2Te3
Source: the Alexandria database
Functional: PBE-GGA
Structure: relaxed

Unit cell a=4.220 b=8.574 c=9.556 alpha=104.34 beta=102.76 gamma=90.00
Element x y z (fractional)
Ge: 0.833 0.667 0.667
Ho: 0.994 0.769 0.987
Te: 0.833 0.167 0.666
Ho: 0.659 0.099 0.318
Te: 0.167 0.833 0.334
Ho: 0.006 0.231 0.013
Ho: 0.673 0.566 0.347
Ho: 0.327 0.434 0.653
Si: 0.500 0.000 0.000
Te: 0.500 0.500 0.000
Ge: 0.167 0.333 0.333
Ho: 0.341 0.901 0.682

Calculated values
formation energy without anion corrections	-1.143	eV per atom
SG	C2/m, No. 12
total energy	-5.4388	eV per atom

=====

Entry 8:
Compound: ZrCd2Co
Source: the Alexandria database
Functional: PBE-GGA
Structure: relaxed

Unit cell a=3.188 b=3.188 c=7.448 alpha=90.00 beta=90.00 gamma=90.00
Element x y z (fractional)
Zr: 0.500 0.500 0.697
Co: 0.000 0.000 0.516
Cd: 0.500 0.500 0.285
Cd: 0.000 0.000 0.002

Calculated values
SG	P4mm, No. 99
calculated formation energy	-0.0725	eV/atom
excess energy over the best structure of this formula in the dataset	0.0000	eV/atom
total energy	-4.4436	eV per atom

=====

| no. | calculated volume (Å³/atom) |
| --- | --- |
| 1 | 12.26 |
| 2 | 11.94 |
| 3 | 25.77 |
| 4 | 21.71 |
| 5 | 17.78 |
| 6 | 19.13 |
| 7 | 27.18 |
| 8 | 18.92 |